Here is a geometry-optimized KNa3V2Mo2O12 structure from Alexandria. Energies are from PBE with a Hubbard U.

a b c (Å): 7.787 7.787 7.882
angles (deg): 90.00 90.00 90.10
Fractional coordinates of all 40 atoms:
O1 0.500 0.500 0.755
O2 0.241 0.502 0.509
O3 0.500 0.500 0.264
O4 0.500 0.000 0.762
O5 0.498 0.759 0.509
O6 0.000 0.246 0.002
O7 0.246 0.000 0.002
O8 0.000 0.754 0.002
O9 0.999 0.244 0.507
O10 0.001 0.756 0.507
O11 0.502 0.241 0.509
O12 0.498 0.752 0.002
O13 0.502 0.248 0.002
O14 0.000 0.000 0.756
O15 0.759 0.498 0.509
O16 0.244 0.999 0.507
O17 0.000 0.500 0.245
O18 0.000 0.000 0.249
O19 0.752 0.498 0.002
O20 0.000 0.500 0.762
O21 0.754 0.000 0.002
O22 0.756 0.001 0.507
O23 0.248 0.502 0.002
O24 0.500 0.000 0.245
Na1 0.260 0.260 0.723
Na2 0.740 0.740 0.723
Na3 0.260 0.740 0.724
Na4 0.740 0.260 0.724
Na5 0.263 0.737 0.262
Na6 0.737 0.263 0.262
Mo1 0.000 0.000 0.989
Mo2 0.500 0.000 0.002
Mo3 0.000 0.000 0.489
Mo4 0.000 0.500 0.002
V1 0.500 0.500 0.484
V2 0.500 0.000 0.506
V3 0.000 0.500 0.506
V4 0.500 0.500 0.976
K1 0.746 0.746 0.255
K2 0.254 0.254 0.255

ρ: 4126 kg/m3
total moment: 2.0 μB per formula unit
raw total energy: -6.4881 eV/atom